# 1
Density functional theory data (PBE) for an optimized crystal structure of Tm2PuSc4.

DOS at the Fermi energy (states/eV/f.u.): 15.0
Space group: Cmmm (65)
Energy of formation (kJ/mol of atoms): 12.1

Lattice parameters (Å, degrees): 17.162 17.162 3.288 90.00 90.00 168.98
Fractional coordinates of all 7 atoms:
Tm: 0.206 0.794 0.000
Tm: 0.794 0.206 0.000
Pu: 0.500 0.500 0.500
Sc: 0.068 0.932 0.000
Sc: 0.364 0.636 0.500
Sc: 0.636 0.364 0.500
Sc: 0.932 0.068 0.000

---

# 2
Density functional theory data (PBE) for an optimized crystal structure of K2Ru.

DOS at the Fermi energy (states/eV/f.u.): 2.9
Relative energy among the computed polymorphs (meV/atom): 12.0
Space group: C2/m (12)
Energy of formation (kJ/mol of atoms): 60.1

Lattice parameters (Å, degrees): 9.726 9.726 6.770 103.86 103.86 24.32
Fractional coordinates of all 6 atoms:
K: 0.085 0.085 0.306
K: 0.335 0.335 0.157
K: 0.665 0.665 0.843
K: 0.915 0.915 0.694
Ru: 0.262 0.262 0.581
Ru: 0.738 0.738 0.419

---

# 3
Density functional theory data (PBE) for an optimized crystal structure of Sm6Ge2Te3I.

Raw formation energy (meV per atom): -1211
DOS at the Fermi energy (states/eV/f.u.): 4.6
Space group: C2/m (12)

Lattice parameters (Å, degrees): 9.845 9.845 8.898 102.51 102.51 25.52
Fractional coordinates of all 12 atoms:
Sm: 0.017 0.017 0.275
Sm: 0.323 0.323 0.881
Sm: 0.327 0.327 0.431
Sm: 0.673 0.673 0.569
Sm: 0.677 0.677 0.119
Sm: 0.983 0.983 0.725
Ge: 0.170 0.170 0.336
Ge: 0.830 0.830 0.664
Te: 0.157 0.157 0.837
Te: 0.500 0.500 0.500
Te: 0.843 0.843 0.163
I: 0.500 0.500 0.000